Compound: Y2TiNi
Source: the Alexandria database
Functional: PBE-GGA
Structure: optimized geometry

Properties
- total energy (eV per cell) = -51.120
- E_form (kJ/mol of formula units) = 100.7
- crystal system = tetragonal
- space-group type = I-42d
- energy relative to the lowest polymorph listed for this composition (eV per atom) = 0.1160
- DOS at the Fermi energy (states/eV per cell) = 10.40

a = 6.321 Å, b = 6.321 Å, c = 6.321 Å
α = 103.20°, β = 103.20°, γ = 122.91°
Positions (direct):
Y  0.072  0.125  0.447
Y  0.375  0.928  0.053
Y  0.678  0.625  0.553
Y  0.875  0.322  0.947
Ti  0.250  0.750  0.500
Ti  0.500  0.500  0.000
Ni  0.000  0.000  0.000
Ni  0.750  0.250  0.500



Compound: Y2TiNi
Source: the Alexandria database
Functional: PBE-GGA
Structure: optimized geometry

Properties
- total energy (eV per cell) = -26.024
- E_form (kJ/mol of formula units) = 56.0
- crystal system = cubic
- space-group type = Fm-3m
- energy relative to the lowest polymorph listed for this composition (eV per atom) = 0.0000
- DOS at the Fermi energy (states/eV per cell) = 6.94

a = 4.995 Å, b = 4.995 Å, c = 4.995 Å
α = 60.00°, β = 60.00°, γ = 60.00°
Positions (direct):
Y  0.250  0.250  0.250
Y  0.750  0.750  0.750
Ti  0.000  0.000  0.000
Ni  0.500  0.500  0.500



Compound: Y2TiNi2
Source: the Alexandria database
Functional: PBE-GGA
Structure: optimized geometry

Properties
- total energy (eV per cell) = -67.219
- E_form (kJ/mol of formula units) = -118.1
- crystal system = tetragonal
- space-group type = P4/mbm
- DOS at the Fermi energy (states/eV per cell) = 9.68

a = 6.608 Å, b = 6.608 Å, c = 4.486 Å
α = 90.00°, β = 90.00°, γ = 90.00°
Positions (direct):
Y  0.177  0.323  0.000
Y  0.323  0.823  0.000
Y  0.677  0.177  0.000
Y  0.823  0.677  0.000
Ti  0.000  0.000  0.500
Ti  0.500  0.500  0.500
Ni  0.131  0.631  0.500
Ni  0.369  0.131  0.500
Ni  0.631  0.869  0.500
Ni  0.869  0.369  0.500



Compound: YTiNi
Source: the Alexandria database
Functional: PBE-GGA
Structure: optimized geometry

Properties
- total energy (eV per cell) = -20.548
- E_form (kJ/mol of formula units) = -39.3
- crystal system = tetragonal
- space-group type = I4mm
- energy relative to the lowest polymorph listed for this composition (eV per atom) = 0.1753
- DOS at the Fermi energy (states/eV per cell) = 3.95

a = 6.034 Å, b = 6.034 Å, c = 6.034 Å
α = 148.98°, β = 148.98°, γ = 44.44°
Positions (direct):
Y  0.000  0.000  0.000
Ti  0.719  0.719  0.000
Ni  0.304  0.304  0.000